[1]
Below is a relaxed structure of CaInSnBi, with properties calculated at the PBE level.

The value obtained for the density is 6.7 g/cm3. The energy of formation comes out at -0.89 eV per formula unit.

The space group is F-43m (No. 216) and the conventional cell measures 7.8206, 7.8206 and 7.8206 Å, with angles of 90.00, 90.00 and 90.00 degrees. The asymmetric unit holds Ca at (0.0000, 0.0000, 0.0000), In at (0.2500, 0.2500, 0.2500), Sn at (0.0000, 0.0000, 0.5000) and Bi at (0.2500, 0.2500, 0.7500).

---

[2]
Below is a relaxed structure of AcHgIr, with properties calculated at the PBE level.

The value obtained for the density is 11.9 g/cm3. The energy of formation comes out at -0.96 eV per formula unit.

The space group is Fmmm (No. 69) and the conventional cell measures 4.9606, 8.9509 and 15.6275 Å, with angles of 90.00, 90.00 and 90.00 degrees. The asymmetric unit holds Ac at (0.0000, 0.0000, 0.1385), Hg at (0.0000, 0.1651, 0.5000) and Ir at (0.2500, 0.2500, 0.2500).